Ac6Si2Sn | GGA-PBE | optimized geometry

Calculated values
DOS(E_F) = 8.03 states/eV/f.u.
Density = 8.0 g/cm³
VASP energy = -87.11 eV for the cell shown

```
Ac6Si2Sn
1.0
9.389 0.039 -0.010
-3.521 8.704 0.010
-3.152 -4.226 7.770
Ac Sn Si
12 2 4
Direct
0.706 0.026 0.320 Ac
0.460 0.277 0.184 Ac
0.294 0.614 0.320 Ac
0.795 0.762 0.557 Ac
0.540 0.723 0.816 Ac
0.294 0.974 0.680 Ac
0.706 0.386 0.680 Ac
0.205 0.238 0.443 Ac
0.795 0.238 0.032 Ac
0.907 0.723 0.184 Ac
0.205 0.762 0.968 Ac
0.093 0.277 0.816 Ac
0.000 0.000 0.000 Sn
0.000 0.500 0.500 Sn
0.617 0.000 0.617 Si
0.500 0.608 0.108 Si
0.500 0.392 0.892 Si
0.383 0.000 0.383 Si
```

---

Ho2NbOs | GGA-PBE | optimized geometry

Calculated values
DOS(E_F) = 4.41 states/eV/f.u.
Density = 11.3 g/cm³
Energy of formation = 0.564 eV per atom
VASP energy = -28.20 eV for the cell shown

```
Ho2NbOs
1.0
-0.206 -1.037 2.998
0.929 -2.951 0.728
9.754 2.122 3.089
Ho Nb Os
2 1 1
Direct
0.903 0.903 0.292 Ho
0.097 0.097 0.708 Ho
0.000 0.000 0.000 Nb
0.500 0.500 0.500 Os
```

---

Na3SrCa | GGA-PBE | optimized geometry

Calculated values
DOS(E_F) = 4.52 states/eV/f.u.
Excess energy over the best structure of this formula in the dataset = 0.324 eV/atom
Density = 1.3 g/cm³
Energy of formation = 0.410 eV per atom
VASP energy = -5.59 eV for the cell shown

```
Na3SrCa
1.0
-3.799 -3.832 3.294
5.052 -2.973 2.367
0.114 4.055 4.849
Na Ca Sr
3 1 1
Direct
0.000 0.500 0.000 Na
0.500 0.000 0.000 Na
0.000 0.000 0.500 Na
0.000 0.000 0.000 Ca
0.500 0.500 0.500 Sr
```

---

CaYFe | GGA-PBE | optimized geometry

Calculated values
DOS(E_F) = 3.46 states/eV/f.u.
Excess energy over the best structure of this formula in the dataset = 0.161 eV/atom
Density = 3.7 g/cm³
Energy of formation = 0.420 eV per atom
VASP energy = -15.67 eV for the cell shown

```
CaYFe
1.0
3.701 0.000 0.000
-1.851 3.205 0.000
0.000 0.000 6.959
Fe Ca Y
1 1 1
Direct
0.667 0.333 0.346 Fe
0.000 0.000 0.066 Ca
0.333 0.667 0.589 Y
```